No. 1
This record from the Alexandria database describes InGeSb after structural relaxation. The functional is PBE-GGA.

a b c (Å): 4.742 5.597 6.545
angles (deg): 84.13 69.80 74.84
Sites, in units of the cell vectors:
In: 0.528 0.206 0.754
Ge: 0.453 0.659 0.049
Sb: 0.527 0.956 0.347
Ge: 0.889 0.252 0.058
In: 0.081 0.759 0.763
Sb: 0.984 0.495 0.383

Computed properties:
- relative energy among the computed polymorphs (meV/atom) = 36
- formation energy from raw total energies (eV/atom) = 0.106
- total DFT energy (no corrections) (eV/atom) = -3.720
- V (Å³/atom) = 26.23
- calculated density (Mg/m³) = 6.53

***

No. 2
This record from the Alexandria database describes HoZrS4 after structural relaxation. The functional is PBE-GGA.

a b c (Å): 3.882 6.256 6.256
angles (deg): 90.62 90.00 90.00
Sites, in units of the cell vectors:
S: 0.500 0.692 0.308
S: 0.000 0.211 0.211
Zr: 0.000 0.500 0.500
S: 0.000 0.789 0.789
Ho: 0.500 0.000 0.000
S: 0.500 0.308 0.692

Computed properties:
- formation energy from raw total energies (eV/atom) = -1.378
- total DFT energy (no corrections) (eV/atom) = -6.317
- V (Å³/atom) = 25.32
- calculated density (Mg/m³) = 4.20

***

No. 3
This record from the Alexandria database describes K2LiIrCl6 after structural relaxation. The functional is PBE-GGA.

a b c (Å): 7.014 7.014 9.917
angles (deg): 90.00 90.00 90.00
Sites, in units of the cell vectors:
Cl: 0.739 0.489 0.500
Ir: 0.500 0.250 0.500
Cl: 0.261 0.011 0.500
Cl: 0.761 0.511 0.000
Cl: 0.739 0.011 0.500
Cl: 0.000 0.750 0.239
Cl: 0.239 0.989 0.000
Ir: 0.000 0.750 0.000
Cl: 0.500 0.250 0.739
Cl: 0.500 0.250 0.261
Li: 0.500 0.250 0.000
Cl: 0.261 0.489 0.500
Cl: 0.239 0.511 0.000
K: 0.500 0.750 0.750
Cl: 0.761 0.989 0.000
Cl: 0.000 0.750 0.761
Li: 0.000 0.750 0.500
K: 0.000 0.250 0.750
K: 0.500 0.750 0.250
K: 0.000 0.250 0.250

Computed properties:
- formation energy from raw total energies (eV/atom) = -1.310
- total DFT energy (no corrections) (eV/atom) = -3.715
- V (Å³/atom) = 24.40
- calculated density (Mg/m³) = 3.34